a | A plane-wave DFT calculation with PBE was carried out for a relaxed Hg2Ge2H crystal.

Properties
magnetic moment: 0.000 μB/atom
DOS(E_F): 2.0 states/eV per cell
space-group type: I4/mmm
volume: 21.34 Å³/atom

Structure (CIF):
```
data_Hg2Ge2H
_chemical_formula_sum 'Hg2 Ge2 H1'
_cell_length_a 8.359
_cell_length_b 8.359
_cell_length_c 8.359
_cell_angle_alpha 154.68
_cell_angle_beta 154.68
_cell_angle_gamma 36.12
_symmetry_space_group_name_H-M 'P 1'
_symmetry_Int_Tables_number 1
loop_
_symmetry_equiv_pos_as_xyz
'x,y,z'
loop_
_atom_site_label
_atom_site_type_symbol
_atom_site_fract_x
_atom_site_fract_y
_atom_site_fract_z
Hg1 Hg 0.087 0.087 0.000
Hg2 Hg 0.913 0.913 0.000
Ge1 Ge 0.250 0.750 0.500
Ge2 Ge 0.750 0.250 0.500
H1 H 0.500 0.500 0.000
```


b | A plane-wave DFT calculation with PBE was carried out for a relaxed Hg2Ge2H crystal.

Properties
magnetic moment: 0.000 μB/atom
DOS(E_F): 4.6 states/eV per cell
space-group type: P4/mbm
volume: 20.91 Å³/atom

Structure (CIF):
```
data_Hg2Ge2H
_chemical_formula_sum 'Hg4 Ge4 H2'
_cell_length_a 7.039
_cell_length_b 7.039
_cell_length_c 4.219
_cell_angle_alpha 90.00
_cell_angle_beta 90.00
_cell_angle_gamma 90.00
_symmetry_space_group_name_H-M 'P 1'
_symmetry_Int_Tables_number 1
loop_
_symmetry_equiv_pos_as_xyz
'x,y,z'
loop_
_atom_site_label
_atom_site_type_symbol
_atom_site_fract_x
_atom_site_fract_y
_atom_site_fract_z
Hg1 Hg 0.193 0.307 0.000
Hg2 Hg 0.307 0.807 0.000
Hg3 Hg 0.693 0.193 0.000
Hg4 Hg 0.807 0.693 0.000
Ge1 Ge 0.124 0.624 0.500
Ge2 Ge 0.376 0.124 0.500
Ge3 Ge 0.624 0.876 0.500
Ge4 Ge 0.876 0.376 0.500
H1 H 0.000 0.000 0.000
H2 H 0.500 0.500 0.000
```


Which of them is the most stable, and which is the least stable? a and b, in that order.


a | A plane-wave DFT calculation with PBE was carried out for a relaxed Li2HgGeH crystal.

Properties
magnetic moment: 0.000 μB/atom
DOS(E_F): 2.1 states/eV per cell
space-group type: P4/mmm
volume: 14.45 Å³/atom

Structure (CIF):
```
data_Li2HgGeH
_chemical_formula_sum 'Li2 Hg1 Ge1 H1'
_cell_length_a 4.218
_cell_length_b 4.218
_cell_length_c 4.062
_cell_angle_alpha 90.00
_cell_angle_beta 90.00
_cell_angle_gamma 90.00
_symmetry_space_group_name_H-M 'P 1'
_symmetry_Int_Tables_number 1
loop_
_symmetry_equiv_pos_as_xyz
'x,y,z'
loop_
_atom_site_label
_atom_site_type_symbol
_atom_site_fract_x
_atom_site_fract_y
_atom_site_fract_z
Li1 Li 0.000 0.500 0.000
Li2 Li 0.500 0.000 0.000
Hg1 Hg 0.000 0.000 0.500
Ge1 Ge 0.500 0.500 0.500
H1 H 0.000 0.000 0.000
```


b | A plane-wave DFT calculation with PBE was carried out for a relaxed Li2HgGeH crystal.

Properties
magnetic moment: 0.000 μB/atom
DOS(E_F): 1.1 states/eV per cell
space-group type: P4/mmm
volume: 14.51 Å³/atom

Structure (CIF):
```
data_Li2HgGeH
_chemical_formula_sum 'Li2 Hg1 Ge1 H1'
_cell_length_a 4.171
_cell_length_b 4.171
_cell_length_c 4.169
_cell_angle_alpha 90.00
_cell_angle_beta 90.00
_cell_angle_gamma 90.00
_symmetry_space_group_name_H-M 'P 1'
_symmetry_Int_Tables_number 1
loop_
_symmetry_equiv_pos_as_xyz
'x,y,z'
loop_
_atom_site_label
_atom_site_type_symbol
_atom_site_fract_x
_atom_site_fract_y
_atom_site_fract_z
Li1 Li 0.000 0.500 0.000
Li2 Li 0.500 0.000 0.000
Hg1 Hg 0.000 0.000 0.500
Ge1 Ge 0.500 0.500 0.500
H1 H 0.500 0.500 0.000
```


Which of them is the most stable, and which is the least stable? b and a, in that order.


a | A plane-wave DFT calculation with PBE was carried out for a relaxed Ho4Ge2H crystal.

Properties
magnetic moment: 0.029 μB/atom
DOS(E_F): 6.5 states/eV per cell
space-group type: I4/mmm
volume: 21.82 Å³/atom

Structure (CIF):
```
data_Ho4Ge2H
_chemical_formula_sum 'Ho4 Ge2 H1'
_cell_length_a 8.501
_cell_length_b 8.501
_cell_length_c 8.501
_cell_angle_alpha 150.05
_cell_angle_beta 150.05
_cell_angle_gamma 42.86
_symmetry_space_group_name_H-M 'P 1'
_symmetry_Int_Tables_number 1
loop_
_symmetry_equiv_pos_as_xyz
'x,y,z'
loop_
_atom_site_label
_atom_site_type_symbol
_atom_site_fract_x
_atom_site_fract_y
_atom_site_fract_z
Ho1 Ho 0.000 0.500 0.500
Ho2 Ho 0.181 0.181 0.000
Ho3 Ho 0.500 0.000 0.500
Ho4 Ho 0.819 0.819 0.000
Ge1 Ge 0.365 0.365 0.000
Ge2 Ge 0.635 0.635 0.000
H1 H 0.000 0.000 0.000
```


b | A plane-wave DFT calculation with PBE was carried out for a relaxed Ho4Ge2H crystal.

Properties
magnetic moment: 0.000 μB/atom
DOS(E_F): 8.9 states/eV per cell
space-group type: P2_1/m
volume: 22.33 Å³/atom

Structure (CIF):
```
data_Ho4Ge2H
_chemical_formula_sum 'Ho8 Ge4 H2'
_cell_length_a 6.145
_cell_length_b 6.404
_cell_length_c 8.438
_cell_angle_alpha 90.00
_cell_angle_beta 109.72
_cell_angle_gamma 90.00
_symmetry_space_group_name_H-M 'P 1'
_symmetry_Int_Tables_number 1
loop_
_symmetry_equiv_pos_as_xyz
'x,y,z'
loop_
_atom_site_label
_atom_site_type_symbol
_atom_site_fract_x
_atom_site_fract_y
_atom_site_fract_z
Ho1 Ho 0.014 0.000 0.265
Ho2 Ho 0.014 0.500 0.265
Ho3 Ho 0.404 0.250 0.090
Ho4 Ho 0.428 0.250 0.620
Ho5 Ho 0.572 0.750 0.380
Ho6 Ho 0.596 0.750 0.910
Ho7 Ho 0.986 0.000 0.735
Ho8 Ho 0.986 0.500 0.735
Ge1 Ge 0.208 0.750 0.046
Ge2 Ge 0.256 0.750 0.570
Ge3 Ge 0.744 0.250 0.430
Ge4 Ge 0.792 0.250 0.954
H1 H 0.247 0.250 0.810
H2 H 0.753 0.750 0.190
```


Which of them is the most stable, and which is the least stable? b and a, in that order.


a | A plane-wave DFT calculation with PBE was carried out for a relaxed Ho2GeH crystal.

Properties
magnetic moment: 0.113 μB/atom
DOS(E_F): 3.6 states/eV per cell
space-group type: R-3m
volume: 28.18 Å³/atom

Structure (CIF):
```
data_Ho2GeH
_chemical_formula_sum 'Ho2 Ge1 H1'
_cell_length_a 7.345
_cell_length_b 7.345
_cell_length_c 7.345
_cell_angle_alpha 34.39
_cell_angle_beta 34.39
_cell_angle_gamma 34.39
_symmetry_space_group_name_H-M 'P 1'
_symmetry_Int_Tables_number 1
loop_
_symmetry_equiv_pos_as_xyz
'x,y,z'
loop_
_atom_site_label
_atom_site_type_symbol
_atom_site_fract_x
_atom_site_fract_y
_atom_site_fract_z
Ho1 Ho 0.101 0.101 0.101
Ho2 Ho 0.899 0.899 0.899
Ge1 Ge 0.500 0.500 0.500
H1 H 0.000 0.000 0.000
```


b | A plane-wave DFT calculation with PBE was carried out for a relaxed Ho2GeH crystal.

Properties
magnetic moment: 0.000 μB/atom
DOS(E_F): 3.1 states/eV per cell
space-group type: Immm
volume: 19.80 Å³/atom

Structure (CIF):
```
data_Ho2GeH
_chemical_formula_sum 'Ho4 Ge2 H2'
_cell_length_a 7.407
_cell_length_b 7.407
_cell_length_c 7.407
_cell_angle_alpha 148.87
_cell_angle_beta 130.52
_cell_angle_gamma 59.62
_symmetry_space_group_name_H-M 'P 1'
_symmetry_Int_Tables_number 1
loop_
_symmetry_equiv_pos_as_xyz
'x,y,z'
loop_
_atom_site_label
_atom_site_type_symbol
_atom_site_fract_x
_atom_site_fract_y
_atom_site_fract_z
Ho1 Ho 0.200 0.200 0.000
Ho2 Ho 0.262 0.500 0.762
Ho3 Ho 0.738 0.500 0.238
Ho4 Ho 0.800 0.800 0.000
Ge1 Ge 0.362 0.862 0.500
Ge2 Ge 0.638 0.138 0.500
H1 H 0.112 0.612 0.500
H2 H 0.888 0.388 0.500
```


Which of them is the most stable, and which is the least stable? b and a, in that order.


a | A plane-wave DFT calculation with PBE was carried out for a relaxed GeH3I crystal.

Properties
magnetic moment: 0.000 μB/atom
DOS(E_F): 0.0 states/eV per cell
space-group type: P1
volume: 21.95 Å³/atom

Structure (CIF):
```
data_GeH3I
_chemical_formula_sum 'Ge2 H6 I2'
_cell_length_a 4.757
_cell_length_b 6.309
_cell_length_c 7.314
_cell_angle_alpha 90.15
_cell_angle_beta 90.01
_cell_angle_gamma 90.26
_symmetry_space_group_name_H-M 'P 1'
_symmetry_Int_Tables_number 1
loop_
_symmetry_equiv_pos_as_xyz
'x,y,z'
loop_
_atom_site_label
_atom_site_type_symbol
_atom_site_fract_x
_atom_site_fract_y
_atom_site_fract_z
Ge1 Ge 0.000 0.000 0.000
Ge2 Ge 0.498 0.461 0.499
H1 H 0.132 0.091 0.175
H2 H 0.133 0.091 0.826
H3 H 0.177 0.445 0.499
H4 H 0.630 0.370 0.324
H5 H 0.630 0.370 0.673
H6 H 0.679 0.015 0.000
I1 I 0.126 0.607 0.999
I2 I 0.627 0.854 0.500
```


b | A plane-wave DFT calculation with PBE was carried out for a relaxed GeH3I crystal.

Properties
magnetic moment: 0.000 μB/atom
DOS(E_F): 2.9 states/eV per cell
space-group type: Pm-3m
volume: 12.34 Å³/atom

Structure (CIF):
```
data_GeH3I
_chemical_formula_sum 'Ge1 H3 I1'
_cell_length_a 3.952
_cell_length_b 3.952
_cell_length_c 3.952
_cell_angle_alpha 90.00
_cell_angle_beta 90.00
_cell_angle_gamma 90.00
_symmetry_space_group_name_H-M 'P 1'
_symmetry_Int_Tables_number 1
loop_
_symmetry_equiv_pos_as_xyz
'x,y,z'
loop_
_atom_site_label
_atom_site_type_symbol
_atom_site_fract_x
_atom_site_fract_y
_atom_site_fract_z
Ge1 Ge 0.000 0.000 0.000
H1 H 0.000 0.000 0.500
H2 H 0.000 0.500 0.000
H3 H 0.500 0.000 0.000
I1 I 0.500 0.500 0.500
```


c | A plane-wave DFT calculation with PBE was carried out for a relaxed GeH3I crystal.

Properties
magnetic moment: 0.000 μB/atom
DOS(E_F): 1.9 states/eV per cell
space-group type: Pm-3m
volume: 14.13 Å³/atom

Structure (CIF):
```
data_GeH3I
_chemical_formula_sum 'Ge1 H3 I1'
_cell_length_a 4.134
_cell_length_b 4.134
_cell_length_c 4.134
_cell_angle_alpha 90.00
_cell_angle_beta 90.00
_cell_angle_gamma 90.00
_symmetry_space_group_name_H-M 'P 1'
_symmetry_Int_Tables_number 1
loop_
_symmetry_equiv_pos_as_xyz
'x,y,z'
loop_
_atom_site_label
_atom_site_type_symbol
_atom_site_fract_x
_atom_site_fract_y
_atom_site_fract_z
Ge1 Ge 0.000 0.000 0.000
H1 H 0.000 0.500 0.500
H2 H 0.500 0.000 0.500
H3 H 0.500 0.500 0.000
I1 I 0.500 0.500 0.500
```


Which of them is the most stable, and which is the least stable? a and c, in that order.


a | A plane-wave DFT calculation with PBE was carried out for a relaxed GeHI2 crystal.

Properties
magnetic moment: 0.000 μB/atom
DOS(E_F): 2.3 states/eV per cell
space-group type: Cmcm
volume: 34.00 Å³/atom

Structure (CIF):
```
data_GeHI2
_chemical_formula_sum 'Ge2 H2 I4'
_cell_length_a 10.161
_cell_length_b 10.161
_cell_length_c 5.950
_cell_angle_alpha 90.00
_cell_angle_beta 90.00
_cell_angle_gamma 153.72
_symmetry_space_group_name_H-M 'P 1'
_symmetry_Int_Tables_number 1
loop_
_symmetry_equiv_pos_as_xyz
'x,y,z'
loop_
_atom_site_label
_atom_site_type_symbol
_atom_site_fract_x
_atom_site_fract_y
_atom_site_fract_z
Ge1 Ge 0.183 0.817 0.750
Ge2 Ge 0.817 0.183 0.250
H1 H 0.090 0.910 0.750
H2 H 0.910 0.090 0.250
I1 I 0.194 0.806 0.250
I2 I 0.412 0.588 0.250
I3 I 0.588 0.412 0.750
I4 I 0.806 0.194 0.750
```


b | A plane-wave DFT calculation with PBE was carried out for a relaxed GeHI2 crystal.

Properties
magnetic moment: 0.250 μB/atom
DOS(E_F): 0.0 states/eV per cell
space-group type: I-42d
volume: 40.20 Å³/atom

Structure (CIF):
```
data_GeHI2
_chemical_formula_sum 'Ge2 H2 I4'
_cell_length_a 7.681
_cell_length_b 7.681
_cell_length_c 7.681
_cell_angle_alpha 119.76
_cell_angle_beta 119.76
_cell_angle_gamma 90.42
_symmetry_space_group_name_H-M 'P 1'
_symmetry_Int_Tables_number 1
loop_
_symmetry_equiv_pos_as_xyz
'x,y,z'
loop_
_atom_site_label
_atom_site_type_symbol
_atom_site_fract_x
_atom_site_fract_y
_atom_site_fract_z
Ge1 Ge 0.000 0.000 0.000
Ge2 Ge 0.750 0.250 0.500
H1 H 0.250 0.750 0.500
H2 H 0.500 0.500 0.000
I1 I 0.096 0.625 0.971
I2 I 0.375 0.346 0.471
I3 I 0.654 0.125 0.029
I4 I 0.875 0.904 0.529
```


Which of them is the most stable, and which is the least stable? a and b, in that order.